First-principles (PBE) data for a geometry-optimized CuTeCl2 structure, as listed in Alexandria via LeMat-Bulk.

The theoretical density is 4.788 g/cm3. As for the symmetry: Pmmm (47). For the distance to the lowest polymorph of the same formula, the calculation gives 481 meV per atom. The value obtained for the energy relative to the elements, uncorrected is 0.157 eV per atom.

Cell: 3.214 4.443 6.365 Å, 90.00 90.00 90.00°
Positions (direct):
Cu: 0.000 0.000 0.000
Te: 0.500 0.000 0.500
Cl: 0.000 0.500 0.500
Cl: 0.500 0.500 0.000

=====

First-principles (PBE) data for a geometry-optimized CuTeCl2 structure, as listed in Alexandria via LeMat-Bulk.

The theoretical density is 4.719 g/cm3. As for the symmetry: C2/m (12). For the distance to the lowest polymorph of the same formula, the calculation gives 363 meV per atom. The value obtained for the energy relative to the elements, uncorrected is 0.038 eV per atom.

Cell: 4.979 4.979 4.916 Å, 113.26 113.26 102.61°
Positions (direct):
Cu: 0.000 0.000 0.000
Te: 0.500 0.500 0.000
Cl: 0.000 0.500 0.500
Cl: 0.500 0.000 0.500

=====

First-principles (PBE) data for a geometry-optimized CuTe2Cl structure, as listed in Alexandria via LeMat-Bulk.

The theoretical density is 6.529 g/cm3. As for the symmetry: Cmmm (65). The value obtained for the energy relative to the elements, uncorrected is 0.385 eV per atom.

Cell: 5.316 5.316 3.189 Å, 90.00 90.00 91.82°
Positions (direct):
Cu: 0.000 0.000 0.000
Te: 0.000 0.500 0.500
Te: 0.500 0.000 0.500
Cl: 0.500 0.500 0.000

=====

First-principles (PBE) data for a geometry-optimized CuTe2Cl structure, as listed in Alexandria via LeMat-Bulk.

The theoretical density is 4.846 g/cm3. As for the symmetry: P4/mmm (123). The value obtained for the energy relative to the elements, uncorrected is 0.279 eV per atom.

Cell: 4.089 4.089 7.259 Å, 90.00 90.00 90.00°
Positions (direct):
Cu: 0.000 0.000 0.000
Te: 0.000 0.500 0.500
Te: 0.500 0.000 0.500
Cl: 0.500 0.500 0.000

=====

First-principles (PBE) data for a geometry-optimized Cu2TeCl6 structure, as listed in Alexandria via LeMat-Bulk.

The theoretical density is 2.530 g/cm3. As for the symmetry: C2/c (15). For the distance to the lowest polymorph of the same formula, the calculation gives 26 meV per atom. The value obtained for the energy relative to the elements, uncorrected is -0.481 eV per atom.

Cell: 9.388 9.388 7.305 Å, 102.21 102.21 83.72°
Positions (direct):
Cu: 0.205 0.249 0.269
Cu: 0.249 0.205 0.769
Cu: 0.751 0.795 0.231
Cu: 0.795 0.751 0.731
Te: 0.402 0.598 0.750
Te: 0.598 0.402 0.250
Cl: 0.136 0.139 0.472
Cl: 0.139 0.136 0.972
Cl: 0.168 0.618 0.830
Cl: 0.312 0.457 0.345
Cl: 0.382 0.832 0.670
Cl: 0.457 0.312 0.845
Cl: 0.543 0.688 0.155
Cl: 0.618 0.168 0.330
Cl: 0.688 0.543 0.655
Cl: 0.832 0.382 0.170
Cl: 0.861 0.864 0.028
Cl: 0.864 0.861 0.528

=====

First-principles (PBE) data for a geometry-optimized CuTeCl2 structure, as listed in Alexandria via LeMat-Bulk.

The theoretical density is 4.870 g/cm3. As for the symmetry: Cmmm (65). For the distance to the lowest polymorph of the same formula, the calculation gives 381 meV per atom. The value obtained for the energy relative to the elements, uncorrected is 0.056 eV per atom.

Cell: 4.569 4.569 4.285 Å, 90.00 90.00 92.59°
Positions (direct):
Cu: 0.000 0.000 0.000
Te: 0.500 0.500 0.000
Cl: 0.235 0.765 0.500
Cl: 0.765 0.235 0.500